1.
# TiGa | the Alexandria database | PBE-GGA | relaxed
# Formation energy in eV/atom: -0.470
# Calculated density in Mg/m³: 6.2
data_TiGa
_cell_length_a 2.812
_cell_length_b 2.812
_cell_length_c 3.972
_cell_angle_alpha 90.00
_cell_angle_beta 90.00
_cell_angle_gamma 90.00
_space_group_name_H-M_alt 'P 4/m m m'
_space_group_IT_number 123
_space_group_name_Hall '-P 4 2'
loop_
_atom_site_label
_atom_site_type_symbol
_atom_site_fract_x
_atom_site_fract_y
_atom_site_fract_z
Ti1 Ti 0.000 0.000 0.000
Ga1 Ga 0.500 0.500 0.500

***

2.
# CsTl2Sb | the Alexandria database | PBE-GGA | relaxed
# Formation energy (no corrections) in kJ per mole of atoms: 2.36
# Calculated density in Mg/m³: 7.4
# Distance to the lowest polymorph of the same formula in meV per atom: 252
data_CsTl2Sb
_cell_length_a 5.334
_cell_length_b 5.334
_cell_length_c 5.223
_cell_angle_alpha 90.00
_cell_angle_beta 90.00
_cell_angle_gamma 90.00
_space_group_name_H-M_alt 'P 4/m m m'
_space_group_IT_number 123
_space_group_name_Hall '-P 4 2'
loop_
_atom_site_label
_atom_site_type_symbol
_atom_site_fract_x
_atom_site_fract_y
_atom_site_fract_z
Cs1 Cs 0.000 0.000 0.000
Tl1 Tl 0.000 0.500 0.500
Sb1 Sb 0.500 0.500 0.000

***

3.
# Er12Mg5Tc3 | the Alexandria database | PBE-GGA | relaxed
# Formation energy in eV/atom: 0.624
# Calculated density in Mg/m³: 6.3
data_Er12Mg5Tc3
_cell_length_a 17.257
_cell_length_b 17.257
_cell_length_c 17.257
_cell_angle_alpha 90.00
_cell_angle_beta 90.00
_cell_angle_gamma 90.00
_space_group_name_H-M_alt 'I a -3 d'
_space_group_IT_number 230
_space_group_name_Hall '-I 4bd 2c 3'
loop_
_atom_site_label
_atom_site_type_symbol
_atom_site_fract_x
_atom_site_fract_y
_atom_site_fract_z
Er1 Er 0.015 0.092 0.647
Mg1 Mg 0.000 0.000 0.000
Mg2 Mg 0.000 0.250 0.375
Tc1 Tc 0.000 0.250 0.125

***

4.
# Tb3DyRu | the Alexandria database | PBE-GGA | relaxed
# Formation energy in eV/atom: -0.032
# Calculated density in Mg/m³: 7.8
# Distance to the lowest polymorph of the same formula in meV per atom: 173
data_Tb3DyRu
_cell_length_a 5.404
_cell_length_b 5.404
_cell_length_c 5.404
_cell_angle_alpha 90.00
_cell_angle_beta 90.00
_cell_angle_gamma 90.00
_space_group_name_H-M_alt 'P m -3 m'
_space_group_IT_number 221
_space_group_name_Hall '-P 4 2 3'
loop_
_atom_site_label
_atom_site_type_symbol
_atom_site_fract_x
_atom_site_fract_y
_atom_site_fract_z
Tb1 Tb 0.000 0.000 0.500
Dy1 Dy 0.500 0.500 0.500
Ru1 Ru 0.000 0.000 0.000

***

5.
# NdEu2Dy | the Alexandria database | PBE-GGA | relaxed
# Formation energy in eV/atom: 0.148
# Calculated density in Mg/m³: 7.0
# Distance to the lowest polymorph of the same formula in meV per atom: 58
data_NdEu2Dy
_cell_length_a 8.355
_cell_length_b 8.355
_cell_length_c 8.355
_cell_angle_alpha 90.00
_cell_angle_beta 90.00
_cell_angle_gamma 90.00
_space_group_name_H-M_alt 'F m -3 m'
_space_group_IT_number 225
_space_group_name_Hall '-F 4 2 3'
loop_
_atom_site_label
_atom_site_type_symbol
_atom_site_fract_x
_atom_site_fract_y
_atom_site_fract_z
Nd1 Nd 0.000 0.000 0.000
Eu1 Eu 0.250 0.250 0.250
Dy1 Dy 0.000 0.000 0.500

***

6.
# CePm3Hg4 | the Alexandria database | PBE-GGA | relaxed
# Formation energy in eV/atom: -0.285
# Calculated density in Mg/m³: 9.5
# Distance to the lowest polymorph of the same formula in meV per atom: 143
data_CePm3Hg4
_cell_length_a 3.741
_cell_length_b 7.833
_cell_length_c 16.375
_cell_angle_alpha 90.00
_cell_angle_beta 90.00
_cell_angle_gamma 90.00
_space_group_name_H-M_alt 'I m m m'
_space_group_IT_number 71
_space_group_name_Hall '-I 2 2'
loop_
_atom_site_label
_atom_site_type_symbol
_atom_site_fract_x
_atom_site_fract_y
_atom_site_fract_z
Ce1 Ce 0.000 0.000 0.000
Pm1 Pm 0.000 0.000 0.500
Pm2 Pm 0.000 0.500 0.300
Hg1 Hg 0.000 0.299 0.132

***

We obtain electronic total energy values of -5.9311; -2.4026; -4.0676; -5.5858; -7.3312; -2.9592 eV/atom for the records listed above, in that order.
We obtain V values of 15.7; 37.2; 32.1; 31.6; 36.4; 30.0 Å³ per atom for the records listed above, in that order.